The following is a PBE-GGA calculation of a relaxed MnAlIr crystal, from Alexandria via LeMat-Bulk.

The space group is P3m1 (No. 156) and the conventional cell measures 4.2007, 4.2007 and 2.8253 Å, with angles of 90.00, 90.00 and 120.00 degrees. The inequivalent atoms are Mn at (0.0000, 0.0000, 0.0000), Al at (0.6667, 0.3333, 0.3745) and Ir at (0.3333, 0.6667, 0.6215).

The calculation puts the formation energy at -0.336 eV per atom. The value obtained for the total magnetization is 1.27 μB/atom. The calculation puts the raw total energy at -7.59 eV/atom.

The following is a PBE-GGA calculation of a relaxed MnAl2Ir crystal, from Alexandria via LeMat-Bulk.

The space group is P4/mmm (No. 123) and the conventional cell measures 4.2226, 4.2226 and 2.9754 Å, with angles of 90.00, 90.00 and 90.00 degrees. The inequivalent atoms are Mn at (0.0000, 0.0000, 0.0000), Al at (0.0000, 0.5000, 0.5000) and Ir at (0.5000, 0.5000, 0.0000).

The calculation puts the formation energy at -0.590 eV per atom. The value obtained for the total magnetization is 0.40 μB/atom. The calculation puts the raw total energy at -6.97 eV/atom.

The following is a PBE-GGA calculation of a relaxed Mn2Al2Ir crystal, from Alexandria via LeMat-Bulk.

The space group is P4/mbm (No. 127) and the conventional cell measures 6.6963, 6.6963 and 3.1360 Å, with angles of 90.00, 90.00 and 90.00 degrees. The inequivalent atoms are Mn at (0.1583, 0.3417, 0.0000), Al at (0.1403, 0.6403, 0.5000) and Ir at (0.0000, 0.0000, 0.5000).

The calculation puts the formation energy at -0.166 eV per atom. The value obtained for the total magnetization is 1.31 μB/atom. The calculation puts the raw total energy at -7.10 eV/atom.

The following is a PBE-GGA calculation of a relaxed MnAl2Ir crystal, from Alexandria via LeMat-Bulk.

The space group is P2/m (No. 10) and the conventional cell measures 4.4350, 2.8678 and 4.7051 Å, with angles of 90.00, 109.09 and 90.00 degrees. The inequivalent atoms are Mn at (0.0000, 0.0000, 0.0000), Al at (0.5000, 0.0000, 0.5000), Al at (0.5000, 0.5000, 0.0000) and Ir at (0.0000, 0.5000, 0.5000).

The calculation puts the formation energy at -0.417 eV per atom. The value obtained for the total magnetization is 0.75 μB/atom. The calculation puts the raw total energy at -6.80 eV/atom.

The following is a PBE-GGA calculation of a relaxed MnAlIr crystal, from Alexandria via LeMat-Bulk.

The space group is I4mm (No. 107) and the conventional cell measures 2.7681, 2.7681 and 10.4027 Å, with angles of 90.00, 90.00 and 90.00 degrees. The inequivalent atoms are Mn at (0.0000, 0.0000, 0.0000), Al at (0.0000, 0.0000, 0.6661) and Ir at (0.0000, 0.0000, 0.3385).

The calculation puts the formation energy at -0.391 eV per atom. The value obtained for the total magnetization is 0.48 μB/atom. The calculation puts the raw total energy at -7.65 eV/atom.

The following is a PBE-GGA calculation of a relaxed MnAl2Ir crystal, from Alexandria via LeMat-Bulk.

The space group is Cm (No. 8) and the conventional cell measures 9.1922, 2.8813 and 4.3632 Å, with angles of 90.00, 106.79 and 90.00 degrees. The inequivalent atoms are Mn at (0.0000, 0.0000, 0.0000), Al at (0.2553, 0.0000, 0.8294), Al at (0.4895, 0.0000, 0.4958) and Ir at (0.2466, 0.5000, 0.3260).

The calculation puts the formation energy at -0.483 eV per atom. The value obtained for the total magnetization is 0.62 μB/atom. The calculation puts the raw total energy at -6.86 eV/atom.

The following is a PBE-GGA calculation of a relaxed Mn2AlIr crystal, from Alexandria via LeMat-Bulk.

The space group is P4/mmm (No. 123) and the conventional cell measures 3.6875, 3.6875 and 3.9152 Å, with angles of 90.00, 90.00 and 90.00 degrees. The inequivalent atoms are Mn at (0.0000, 0.5000, 0.0000), Al at (0.0000, 0.0000, 0.5000) and Ir at (0.5000, 0.5000, 0.5000).

The calculation puts the formation energy at -0.302 eV per atom. The value obtained for the total magnetization is 1.31 μB/atom. The calculation puts the raw total energy at -8.04 eV/atom.

The following is a PBE-GGA calculation of a relaxed MnAlIr2 crystal, from Alexandria via LeMat-Bulk.

The space group is R3m (No. 160, hexagonal axes) and the conventional cell measures 2.7292, 2.7292 and 25.4596 Å, with angles of 90.00, 90.00 and 120.00 degrees. The inequivalent atoms are Mn at (0.0000, 0.0000, 0.0000), Al at (0.0000, 0.0000, 0.2529), Ir at (0.0000, 0.0000, 0.5041) and Ir at (0.0000, 0.0000, 0.7449).

The calculation puts the formation energy at -0.180 eV per atom. The value obtained for the total magnetization is 0.20 μB/atom. The calculation puts the raw total energy at -7.84 eV/atom.

The following is a PBE-GGA calculation of a relaxed MnAlIr2 crystal, from Alexandria via LeMat-Bulk.

The space group is I-4m2 (No. 119) and the conventional cell measures 3.7443, 3.7443 and 7.9462 Å, with angles of 90.00, 90.00 and 90.00 degrees. The inequivalent atoms are Mn at (0.0000, 0.0000, 0.0000), Al at (0.0000, 0.5000, 0.7500), Ir at (0.0000, 0.0000, 0.5000) and Ir at (0.0000, 0.5000, 0.2500).

The calculation puts the formation energy at -0.406 eV per atom. The value obtained for the total magnetization is 0.64 μB/atom. The calculation puts the raw total energy at -8.06 eV/atom.

The following is a PBE-GGA calculation of a relaxed Mn2AlIr crystal, from Alexandria via LeMat-Bulk.

The space group is P4/mmm (No. 123) and the conventional cell measures 2.6784, 2.6784 and 7.2310 Å, with angles of 90.00, 90.00 and 90.00 degrees. The inequivalent atoms are Mn at (0.0000, 0.0000, 0.2475), Al at (0.5000, 0.5000, 0.5000) and Ir at (0.5000, 0.5000, 0.0000).

The calculation puts the formation energy at -0.200 eV per atom. The value obtained for the total magnetization is 0.78 μB/atom. The calculation puts the raw total energy at -7.94 eV/atom.

The following is a PBE-GGA calculation of a relaxed MnAlIr2 crystal, from Alexandria via LeMat-Bulk.

The space group is R-3m (No. 166, hexagonal axes) and the conventional cell measures 2.8460, 2.8460 and 24.4977 Å, with angles of 90.00, 90.00 and 120.00 degrees. The inequivalent atoms are Mn at (0.0000, 0.0000, 0.0000), Al at (0.0000, 0.0000, 0.5000) and Ir at (0.0000, 0.0000, 0.2490).

The calculation puts the formation energy at -0.320 eV per atom. The value obtained for the total magnetization is 0.89 μB/atom. The calculation puts the raw total energy at -7.98 eV/atom.

The following is a PBE-GGA calculation of a relaxed Mn2AlIr crystal, from Alexandria via LeMat-Bulk.

The space group is Pmmm (No. 47) and the conventional cell measures 2.9610, 4.1526 and 4.2513 Å, with angles of 90.00, 90.00 and 90.00 degrees. The inequivalent atoms are Mn at (0.0000, 0.0000, 0.0000), Mn at (0.5000, 0.5000, 0.0000), Al at (0.0000, 0.5000, 0.5000) and Ir at (0.5000, 0.0000, 0.5000).

The calculation puts the formation energy at -0.346 eV per atom. The value obtained for the total magnetization is 0.50 μB/atom. The calculation puts the raw total energy at -8.08 eV/atom.